DFT (PBE) results for a relaxed CoSe2Br crystal.

Unit cell a=3.673 b=3.673 c=7.896 alpha=90.00 beta=90.00 gamma=120.00
Sites, in units of the cell vectors:
Co1 0.000 0.000 0.000
Se1 0.333 0.667 0.876
Se2 0.667 0.333 0.158
Br1 0.333 0.667 0.571

Its uncorrected formation energy is -0.19 eV per atom. As for the relative energy among the computed polymorphs: 15 meV per atom.


DFT (PBE) results for a relaxed SmSiHPd2 crystal.

Unit cell a=5.765 b=5.765 c=7.258 alpha=90.00 beta=90.00 gamma=140.35
Sites, in units of the cell vectors:
Sm1 0.056 0.944 0.750
Sm2 0.944 0.056 0.250
Si1 0.226 0.774 0.250
Si2 0.774 0.226 0.750
H1 0.500 0.500 0.000
H2 0.500 0.500 0.500
Pd1 0.338 0.662 0.556
Pd2 0.338 0.662 0.944
Pd3 0.662 0.338 0.056
Pd4 0.662 0.338 0.444


DFT (PBE) results for a relaxed TlAsIr2 crystal.

Unit cell a=6.310 b=6.310 c=6.310 alpha=148.54 beta=145.89 gamma=47.08
Sites, in units of the cell vectors:
Tl1 0.000 0.000 0.000
As1 0.240 0.740 0.500
Ir1 0.391 0.391 0.000
Ir2 0.692 0.192 0.500

The energy of formation comes out at 0.310 eV per atom. As for the relative energy among the computed polymorphs: 66 meV per atom.


The evaluated final energy for the records listed, in turn: -4.129 -5.597 -5.874 eV/atom.
The evaluated theoretical density for the records listed, in turn: 5.342 8.465 15.042 g cm⁻³.